DFT (PBE) results for MnOs3W after structural relaxation.

The value obtained for the density of states at the Fermi level is 9.893 states/eV/cell. The relative energy among the computed polymorphs comes out at 1412 meV/atom. The value obtained for the energy of formation from the pure elements is 174.06 kJ per mole of atoms. As for the total magnetization: 0.0 μB/f.u.

It has space group Pm-3m (No. 221), with a = 4.3659 Å, b = 4.3659 Å, c = 4.3659 Å, α = 90.00°, β = 90.00° and γ = 90.00°. The distinct sites, in fractional coordinates, are Mn at (0.0000, 0.0000, 0.0000), Os at (0.0000, 0.0000, 0.5000) and W at (0.5000, 0.5000, 0.5000).